Material: CrBiAs
Method: DFT, PBE
State: optimized geometry

ΔE_f in eV/atom: 0.19
Total moment in μB per atom: 0.9166
Density in g/cm³: 8.3
D(E_F) in states/eV per cell: 10.05

a b c (Å): 6.457 6.457 6.457
angles (deg): 90.00 90.00 90.00
Space group P2_13 (No. 198)
Asymmetric unit:
Cr 0.038 0.038 0.038
Bi 0.130 0.630 0.870
As 0.125 0.875 0.375